A geometry-optimized Ce8Os3SeI4 structure, computed with PBE-GGA.

Geometry as POSCAR:
```
Ce8Os3SeI4
1.0
-4.0788 6.1405 4.0198
-8.0437 -3.7000 -2.5097
5.3469 -4.9338 4.1928
Ce Os I Se
8 3 4 1
direct
0.7126 0.6893 0.9511
0.2384 0.6893 0.4768
0.2874 0.3107 0.0489
0.7616 0.3107 0.5232
0.7615 0.3107 0.0489
0.2712 0.3141 0.5425
0.7288 0.6859 0.4575
0.2385 0.6893 0.9511
0.5000 0.5000 0.0000
0.0000 0.5000 0.5000
0.5000 0.5000 0.5000
0.5000 0.0000 0.0000
0.0000 0.0000 0.0000
0.5000 0.0000 0.5000
0.0000 0.0000 0.5000
0.0000 0.5000 0.0000
```

Computed properties:
Total magnetization: 0.424 μB per atom
Total energy: -103.33 eV/f.u.
Raw formation energy: -12.5 eV/f.u.

***

A geometry-optimized CeSmOsI structure, computed with PBE-GGA.

Geometry as POSCAR:
```
CeSmOsI
1.0
-3.7512 0.5910 1.5855
2.3741 -3.0496 1.4136
4.8239 5.6033 3.9847
Sm Os I Ce
1 1 1 1
direct
0.5103 0.1530 0.6787
0.3130 0.5544 0.8827
0.9669 0.3815 0.3635
0.0877 0.9418 0.0448
```

Computed properties:
Total magnetization: 0.054 μB per atom
Total energy: -25.81 eV/f.u.
Raw formation energy: -2.4 eV/f.u.

***

A geometry-optimized TbCeOsI structure, computed with PBE-GGA.

Geometry as POSCAR:
```
TbCeOsI
1.0
4.0968 -0.0005 -0.0002
-2.0479 3.5482 -0.0002
-2.0480 -1.1825 7.9860
Tb I Ce Os
1 1 1 1
direct
0.5114 0.1536 0.6804
0.9692 0.3826 0.3668
0.0874 0.9416 0.0442
0.3100 0.5529 0.8782
```

Computed properties:
Total magnetization: 0.054 μB per atom
Total energy: -25.71 eV/f.u.
Raw formation energy: -2.4 eV/f.u.

***

A geometry-optimized Ce6TcOs2I3 structure, computed with PBE-GGA.

Geometry as POSCAR:
```
Ce6TcOs2I3
1.0
7.1185 -0.0009 0.0006
-3.5583 6.1653 0.0006
-1.1869 -2.0552 7.9581
I Ce Tc Os
3 6 1 2
direct
0.1664 0.8336 0.5000
0.8336 0.1664 0.5000
0.5000 0.5000 0.5000
0.7291 0.7291 0.1839
0.3935 0.0613 0.1839
0.6065 0.9387 0.8161
0.0613 0.3935 0.1839
0.9387 0.6065 0.8161
0.2709 0.2709 0.8161
0.0000 0.0000 0.0000
0.6667 0.3333 0.0000
0.3333 0.6667 0.0000
```

Computed properties:
Total magnetization: 0.225 μB per atom
Total energy: -79.81 eV/f.u.
Raw formation energy: -6.7 eV/f.u.

***

A geometry-optimized Ce5P2I5 structure, computed with PBE-GGA.

Geometry as POSCAR:
```
Ce5P2I5
1.0
-4.2563 0.0246 0.0724
1.9964 -2.7015 -6.8699
0.0890 -10.2670 8.7158
Ce I P
5 5 2
direct
0.6368 0.2735 0.7991
0.1201 0.2402 0.4043
0.3632 0.7265 0.2009
0.0000 0.0000 0.0000
0.8799 0.7598 0.5957
0.7620 0.5239 0.3443
0.2380 0.4761 0.6557
0.6722 0.3443 0.0546
0.3278 0.6557 0.9454
0.5000 0.0000 0.5000
0.0148 0.0295 0.7952
0.9852 0.9705 0.2048
```

Computed properties:
Total magnetization: 0.638 μB per atom
Total energy: -60.40 eV/f.u.
Raw formation energy: -12.2 eV/f.u.

***

A geometry-optimized Ce3PI3 structure, computed with PBE-GGA.

Geometry as POSCAR:
```
Ce3PI3
1.0
10.6174 0.0000 0.0000
-3.5391 10.0102 0.0000
-3.5391 -5.0051 8.6690
I Ce P
12 12 4
direct
0.9901 0.5099 0.2500
0.5099 0.2500 0.9901
0.7401 0.9901 0.9802
0.9802 0.7401 0.9901
0.9901 0.9802 0.7401
0.5099 0.7599 0.5198
0.7599 0.5198 0.5099
0.7599 0.7401 0.2500
0.2500 0.9901 0.5099
0.7401 0.2500 0.7599
0.2500 0.7599 0.7401
0.5198 0.5099 0.7599
0.7500 0.0182 0.4818
0.2682 0.7500 0.2318
0.4818 0.7500 0.0182
0.0365 0.2682 0.0182
0.0182 0.4818 0.7500
0.4635 0.4818 0.2318
0.7500 0.2318 0.2682
0.0182 0.0365 0.2682
0.4818 0.2318 0.4635
0.2682 0.0182 0.0365
0.2318 0.2682 0.7500
0.2318 0.4635 0.4818
0.2500 0.2500 0.2500
0.5000 0.0000 0.2500
0.2500 0.5000 0.0000
0.0000 0.2500 0.5000
```

Computed properties:
Offset from the most stable computed form: 0.0 meV per atom
Total magnetization: 0.474 μB per atom
Total energy: -36.86 eV/f.u.
Raw formation energy: -9.0 eV/f.u.

***

A geometry-optimized Ce4P2I5 structure, computed with PBE-GGA.

Geometry as POSCAR:
```
Ce4P2I5
1.0
5.0065 0.0000 0.0000
0.0000 10.9693 0.0000
-2.5033 -5.4846 9.3293
Ce P I
4 2 5
direct
0.0000 0.7598 0.0000
0.4044 0.4044 0.8089
0.0000 0.2402 0.0000
0.5956 0.5956 0.1911
0.0595 0.0595 0.1191
0.9405 0.9405 0.8809
0.8390 0.1635 0.6781
0.5000 0.0000 0.0000
0.8390 0.5146 0.6781
0.1610 0.8365 0.3219
0.1610 0.4854 0.3219
```

Computed properties:
Total magnetization: 0.499 μB per atom
Total energy: -47.86 eV/f.u.
Raw formation energy: -5.6 eV/f.u.

***

A geometry-optimized Ce3PI3 structure, computed with PBE-GGA.

Geometry as POSCAR:
```
Ce3PI3
1.0
4.2220 0.0000 0.0000
0.0000 8.9774 -0.2885
0.0000 0.2388 12.3382
I Ce P
6 6 2
direct
0.7500 0.6180 0.6400
0.7500 0.1467 0.1195
0.2500 0.3820 0.3600
0.2500 0.3821 0.8761
0.7500 0.6179 0.1239
0.2500 0.8533 0.8805
0.2500 0.8809 0.1568
0.7500 0.1191 0.8432
0.2500 0.3274 0.6194
0.2500 0.9036 0.6128
0.7500 0.0964 0.3872
0.7500 0.6726 0.3806
0.7500 0.1174 0.6172
0.2500 0.8826 0.3829
```

Computed properties:
Offset from the most stable computed form: 7.7 meV per atom
Total magnetization: 0.507 μB per atom
Total energy: -36.80 eV/f.u.
Raw formation energy: -8.9 eV/f.u.

***

A geometry-optimized Ce3P2I2 structure, computed with PBE-GGA.

Geometry as POSCAR:
```
Ce3P2I2
1.0
-0.1014 -0.7816 -4.0508
1.7997 -6.2374 3.2610
-7.8597 -0.8178 0.3549
I Ce P
2 3 2
direct
0.8816 0.7631 0.6134
0.1184 0.2369 0.3866
0.2391 0.4781 0.7853
0.7609 0.5219 0.2147
0.0000 0.0000 0.0000
0.3726 0.7451 0.0925
0.6274 0.2549 0.9075
```

Computed properties:
Total magnetization: 0.462 μB per atom
Total energy: -40.57 eV/f.u.
Raw formation energy: -8.8 eV/f.u.

***

A geometry-optimized Ce2PI structure, computed with PBE-GGA.

Geometry as POSCAR:
```
Ce2PI
1.0
-3.7893 0.1673 1.5608
-1.7420 -3.3866 1.5229
1.1427 0.5718 8.1021
Ce P I
2 1 1
direct
0.2675 0.2675 0.1976
0.0663 0.0663 0.8012
0.6675 0.6675 0.9974
0.4987 0.4987 0.5038
```

Computed properties:
Total magnetization: 0.553 μB per atom
Total energy: -23.79 eV/f.u.
Raw formation energy: -5.0 eV/f.u.

***

A geometry-optimized Ce7PI12 structure, computed with PBE-GGA.

Geometry as POSCAR:
```
Ce7PI12
1.0
-3.3137 -9.3399 0.4730
5.3896 0.8838 -8.2830
6.0565 1.4577 7.7221
Ce I P
7 12 1
direct
0.8950 0.9660 0.6907
0.6907 0.8950 0.9660
0.0340 0.3093 0.1050
0.1050 0.0340 0.3093
0.3093 0.1050 0.0340
0.5000 0.5000 0.5000
0.9660 0.6907 0.8950
0.4712 0.1503 0.3885
0.1503 0.3885 0.4712
0.5288 0.8497 0.6115
0.3149 0.7699 0.9230
0.6851 0.2301 0.0770
0.8497 0.6115 0.5288
0.3885 0.4712 0.1503
0.2301 0.0770 0.6851
0.7699 0.9230 0.3149
0.9230 0.3149 0.7699
0.6115 0.5288 0.8497
0.0770 0.6851 0.2301
0.0000 0.0000 0.0000
```

Computed properties:
Total magnetization: 0.392 μB per atom
Total energy: -91.23 eV/f.u.
Raw formation energy: -25.7 eV/f.u.

***

A geometry-optimized Ce3PI7 structure, computed with PBE-GGA.

Geometry as POSCAR:
```
Ce3PI7
1.0
-1.9380 6.3301 -3.3676
-3.7253 -4.7041 -6.6985
-4.9285 2.3012 7.1618
I Ce P
7 3 1
direct
0.0163 0.6667 0.3333
0.5393 0.8303 0.1697
0.0209 0.1679 0.8321
0.0209 0.6641 0.8321
0.5393 0.3395 0.1697
0.5393 0.8303 0.6605
0.0209 0.1679 0.3359
0.7683 0.4896 0.9793
0.7683 0.4896 0.5104
0.7683 0.0207 0.5104
0.6134 0.3333 0.6667
```

Computed properties:
Total magnetization: 0.183 μB per atom
Total energy: -47.77 eV/f.u.
Raw formation energy: -13.7 eV/f.u.